Ce2ThHg5 | PBE | optimized geometry

Calculated density (Mg/m³): 11.81
M_tot (μB per cell): 4.94
Space-group type: I4/mmm, No. 139
DOS at the Fermi energy (states/eV per cell): 34.15
Formation energy from the elements (eV per atom): -0.27
Calculated total energy (eV/cell): -45.9

a = 5.204 Å, b = 5.204 Å, c = 15.734 Å
α = 90.00°, β = 90.00°, γ = 90.00°
Sites, in units of the cell vectors:
1 Ce 0.000 0.000 0.236
2 Ce 0.000 0.000 0.764
3 Ce 0.500 0.500 0.264
4 Ce 0.500 0.500 0.736
5 Th 0.000 0.000 0.500
6 Th 0.500 0.500 0.000
7 Hg 0.000 0.000 0.000
8 Hg 0.000 0.500 0.121
9 Hg 0.000 0.500 0.379
10 Hg 0.000 0.500 0.621
11 Hg 0.000 0.500 0.879
12 Hg 0.500 0.000 0.121
13 Hg 0.500 0.000 0.379
14 Hg 0.500 0.000 0.621
15 Hg 0.500 0.000 0.879
16 Hg 0.500 0.500 0.500